[1]
Density functional theory data (PBE) for a relaxed U4Ga12Cu crystal.

Calculated values
The density of states at the Fermi level comes out at 24.52 states/eV/cell.

Cell lengths 7.455, 7.455, 7.455 Å; angles 109.47, 109.47, 109.47 degrees
Last column: magnetic moment on the atom in μB.
Atoms (fractional coordinates):
Ga 0.290 0.000 0.290  0.03
U 0.500 0.500 0.500  2.10
U 0.000 0.000 0.500  2.10
Ga 0.710 0.710 0.000  0.03
Ga 0.710 0.000 0.710  0.03
Ga 0.500 0.250 0.750  0.01
Ga 0.000 0.710 0.710  0.03
U 0.500 0.000 0.000  2.10
Ga 0.250 0.750 0.500  0.01
Ga 0.290 0.290 0.000  0.03
Ga 0.750 0.500 0.250  0.01
Ga 0.750 0.250 0.500  0.01
U 0.000 0.500 0.000  2.10
Ga 0.000 0.290 0.290  0.03
Ga 0.500 0.750 0.250  0.01
Ga 0.250 0.500 0.750  0.01
Cu 0.000 0.000 0.000  0.05

=====

[2]
Density functional theory data (PBE) for a relaxed Sm3Ga4Ir2 crystal.

Calculated values
The density of states at the Fermi level comes out at 5.52 states/eV/cell.

Cell lengths 4.391, 5.891, 8.390 Å; angles 107.15, 90.00, 111.88 degrees
Atoms (fractional coordinates):
Sm 0.374 0.748 0.307
Ir 0.320 0.641 0.648
Ga 0.721 0.441 0.074
Sm 0.626 0.252 0.693
Ga 0.096 0.193 0.411
Sm 0.000 0.000 0.000
Ga 0.279 0.559 0.926
Ir 0.680 0.359 0.352
Ga 0.904 0.807 0.589

=====

Number 1: DFT formation energy -4.997 kcal/mol of atoms. Number 2: DFT formation energy -16.363 kcal/mol of atoms.